Crystalline ScCdSn3 at its relaxed geometry. Source: the Alexandria database, functional PBE.

Unit cell a=5.439 b=5.439 c=5.439 alpha=90.00 beta=90.00 gamma=90.00
Sites, in units of the cell vectors:
Cd 0.000 0.000 0.000
Sn 0.000 0.000 0.500
Sn 0.500 0.000 0.000
Sn 0.000 0.500 0.000
Sc 0.500 0.500 0.500

* energy above the most stable polymorph in this dataset: 0.237 eV per atom
* density: 5.3 g/cm³
* D(E_F): 3.92 states/eV/cell
* calculated formation energy: 0.56 eV/atom
* total DFT energy (no corrections): -3.289 eV/atom

Crystalline CdCuH at its relaxed geometry. Source: the Alexandria database, functional PBE.

Unit cell a=2.914 b=2.914 c=5.390 alpha=90.00 beta=90.00 gamma=120.00
Sites, in units of the cell vectors:
Cu 0.667 0.333 0.494
H 0.333 0.667 0.505
Cd 0.000 0.000 0.000

* energy above the most stable polymorph in this dataset: 0.042 eV per atom
* density: 7.4 g/cm³
* D(E_F): 0.64 states/eV/cell
* total DFT energy (no corrections): -2.627 eV/atom